[1]
Density functional theory data (PBE) for crystalline RbNi4H7 at its relaxed geometry.

abc: 3.7568 3.7568 14.2093
angles: 90.00 90.00 90.00
With the nearest neighbours (Å) after each atom.
Space group I4/mmm (No. 139)
Unique sites:
Rb 0.0000 0.0000 0.0000 (multiplicity 2)  12 H 2.66-2.69
Ni 0.0000 0.0000 0.3742 (multiplicity 4)  2 H 1.66-1.79
Ni 0.0000 0.5000 0.2500 (multiplicity 4)  2 H 1.63
H 0.0000 0.0000 0.2575 (multiplicity 4)  1 Ni 1.66
H 0.0000 0.0000 0.5000 (multiplicity 2)  2 Ni 1.79
H 0.0000 0.5000 0.1350 (multiplicity 8)  1 Ni 1.63

- crystal system = tetragonal
- total energy (eV per cell) = -94.92


[2]
Density functional theory data (PBE) for crystalline HoTl2Bi at its relaxed geometry.

abc: 4.8314 4.8314 4.8578
angles: 90.00 90.00 90.00
With the nearest neighbours (Å) after each atom.
Space group P4/mmm (No. 123)
Unique sites:
Ho 0.0000 0.0000 0.0000 (multiplicity 1)  4 Bi 3.42, 8 Tl 3.43
Tl 0.0000 0.5000 0.5000 (multiplicity 2)  4 Tl 3.42, 4 Ho 3.43, 4 Bi 3.43
Bi 0.5000 0.5000 0.0000 (multiplicity 1)  4 Ho 3.42, 8 Tl 3.43

- crystal system = tetragonal
- energy relative to the elements (eV per atom) = -0.27
- total energy (eV per cell) = -14.29


[3]
Density functional theory data (PBE) for crystalline La8POs3Cl3 at its relaxed geometry.

abc: 8.4837 8.4837 21.7252
angles: 90.00 90.00 120.00
With the nearest neighbours (Å) after each atom.
Space group R-3m (No. 166, hexagonal axes)
Unique sites:
La 0.0000 0.0000 0.2393 (multiplicity 6)  3 Os 2.91, 3 Cl 3.19
La 0.0124 0.5062 0.7637 (multiplicity 18)  2 Os 2.84, 1 P 2.96
P 0.0000 0.0000 0.5000 (multiplicity 3)  6 La 2.96
Os 0.0000 0.5000 0.5000 (multiplicity 9)  6 La 2.84-2.91
Cl 0.0000 0.5000 0.0000 (multiplicity 9)  6 La 3.19-3.27

- crystal system = trigonal
- raw formation energy (eV per atom) = -0.93
- total energy (eV per cell) = -293.85


[4]
Density functional theory data (PBE) for crystalline ErZn12Ni4 at its relaxed geometry.

abc: 8.3931 8.3931 8.3931
angles: 90.00 90.00 90.00
With the nearest neighbours (Å) after each atom.
Space group Im-3 (No. 204)
Unique sites:
Er 0.0000 0.0000 0.0000 (multiplicity 2)  12 Zn 3.21
Zn 0.0000 0.3459 0.1622 (multiplicity 24)  2 Ni 2.37, 1 Zn 2.59
Ni 0.2500 0.2500 0.2500 (multiplicity 8)  6 Zn 2.37

- crystal system = cubic
- energy relative to the elements (eV per atom) = 0.13
- total energy (eV per cell) = -81.45